Er4Cd | the Alexandria database | PBE | relaxed; final energy = -3.7965 eV/atom; space group = C2/c, No. 15; E_form = 0.2 eV per formula unit; E above lowest polymorph = 0.0357 eV/atom
1.0
6.759 0.657 0.000
2.824 5.292 0.000
3.380 0.329 8.705
Er Cd
8 2
Direct
0.596 0.371 0.169 Er
0.024 0.765 0.422 Er
0.976 0.235 0.578 Er
0.236 0.129 0.169 Er
0.445 0.265 0.578 Er
0.555 0.735 0.422 Er
0.764 0.871 0.831 Er
0.404 0.629 0.831 Er
0.941 0.750 0.117 Cd
0.059 0.250 0.883 Cd

***

Er2Cd7 | the Alexandria database | PBE | relaxed; final energy = -1.9138 eV/atom; space group = C2/m, No. 12; E_form = -1.7 eV per formula unit
1.0
4.918 0.000 0.000
-2.459 4.559 -0.320
0.000 -0.655 9.346
Cd Er
7 2
Direct
0.344 0.688 0.104 Cd
0.000 0.000 0.000 Cd
0.656 0.312 0.896 Cd
0.351 0.703 0.424 Cd
0.970 0.940 0.652 Cd
0.030 0.060 0.348 Cd
0.649 0.297 0.576 Cd
0.314 0.627 0.773 Er
0.686 0.373 0.227 Er

***

ErCd4 | the Alexandria database | PBE | relaxed; final energy = -0.9856 eV/atom; space group = Pm-3m, No. 221; E_form = 3.3 eV per formula unit; E above lowest polymorph = 0.8532 eV/atom
1.0
5.954 0.000 0.000
0.000 5.954 0.000
0.000 0.000 5.954
Cd Er
4 1
Direct
0.500 0.500 0.000 Cd
0.500 0.000 0.500 Cd
0.000 0.000 0.000 Cd
0.000 0.500 0.500 Cd
0.500 0.500 0.500 Er

***

Er3Cd | the Alexandria database | PBE | relaxed; final energy = -3.7128 eV/atom; space group = I4/mmm, No. 139; E_form = -0.2 eV per formula unit; E above lowest polymorph = 0.0812 eV/atom
1.0
4.776 0.000 0.000
0.000 4.776 0.000
-2.388 -2.388 4.845
Er Cd
3 1
Direct
0.500 0.500 0.000 Er
0.750 0.250 0.500 Er
0.250 0.750 0.500 Er
0.000 0.000 0.000 Cd

***

Er2Cd5 | the Alexandria database | PBE | relaxed; final energy = -2.1763 eV/atom; space group = Ibam, No. 72; E_form = -1.5 eV per formula unit
1.0
-4.656 -3.302 -3.242
3.125 1.855 -6.377
4.696 -5.060 5.054
Cd Er
10 4
Direct
0.376 0.111 0.752 Cd
0.250 0.500 0.000 Cd
0.983 0.733 0.466 Cd
0.483 0.733 0.466 Cd
0.517 0.267 0.534 Cd
0.124 0.360 0.248 Cd
0.876 0.640 0.752 Cd
0.017 0.267 0.534 Cd
0.750 0.500 0.000 Cd
0.624 0.889 0.248 Cd
0.900 0.086 0.800 Er
0.600 0.286 0.200 Er
0.400 0.714 0.800 Er
0.100 0.914 0.200 Er

***

Er5Cd3 | the Alexandria database | PBE | relaxed; final energy = -3.4072 eV/atom; space group = P4/mmm, No. 123; E_form = -1.7 eV per formula unit
1.0
3.591 0.000 0.000
0.000 3.591 0.000
0.000 0.000 16.827
Cd Er
3 5
Direct
0.500 0.500 0.116 Cd
0.500 0.500 0.884 Cd
0.000 0.000 0.500 Cd
0.500 0.500 0.380 Er
0.000 0.000 0.764 Er
0.000 0.000 0.236 Er
0.500 0.500 0.620 Er
0.000 0.000 0.000 Er

***

ErCd4 | the Alexandria database | PBE | relaxed; final energy = -1.8388 eV/atom; space group = Imma, No. 74; E_form = -1.0 eV per formula unit; E above lowest polymorph = 0.0000 eV/atom
1.0
4.643 0.000 -1.356
-0.731 6.011 -2.502
-0.051 -0.058 8.453
Cd Er
8 2
Direct
0.698 0.193 0.395 Cd
0.302 0.807 0.605 Cd
0.888 0.638 0.776 Cd
0.112 0.362 0.224 Cd
0.500 0.500 0.000 Cd
0.302 0.297 0.605 Cd
0.698 0.703 0.395 Cd
0.500 0.000 0.000 Cd
0.895 0.145 0.790 Er
0.105 0.855 0.210 Er

***

ErCd3 | the Alexandria database | PBE | relaxed; final energy = -2.0652 eV/atom; space group = I4/mmm, No. 139; E_form = -1.0 eV per formula unit
1.0
5.049 0.000 0.000
0.000 5.049 0.000
-2.524 -2.524 3.589
Cd Er
3 1
Direct
0.250 0.750 0.500 Cd
0.500 0.500 0.000 Cd
0.750 0.250 0.500 Cd
0.000 0.000 0.000 Er

***

Er3Cd | the Alexandria database | PBE | relaxed; final energy = -3.5475 eV/atom; space group = Pmm2, No. 25; E_form = 0.4 eV per formula unit; E above lowest polymorph = 0.2465 eV/atom
1.0
-2.737 1.172 -1.704
-1.978 -2.250 1.630
-1.681 6.841 7.403
Er Cd
3 1
Direct
0.500 0.000 0.711 Er
0.000 0.500 0.471 Er
0.500 0.500 0.178 Er
0.000 0.000 0.973 Cd

***

ErCd3 | the Alexandria database | PBE | relaxed; final energy = -2.0512 eV/atom; space group = P2_1/m, No. 11; E_form = -0.9 eV per formula unit
1.0
-0.351 2.609 -3.848
3.408 -4.820 -0.785
-5.967 -3.878 -2.086
Er Cd
2 6
Direct
0.416 0.835 0.750 Er
0.584 0.165 0.250 Er
0.292 0.583 0.250 Cd
0.126 0.249 0.551 Cd
0.126 0.249 0.949 Cd
0.874 0.751 0.051 Cd
0.708 0.417 0.750 Cd
0.874 0.751 0.449 Cd

***

ErCd3 | the Alexandria database | PBE | relaxed; final energy = -2.0575 eV/atom; space group = P4/mmm, No. 123; E_form = -0.9 eV per formula unit
1.0
-0.486 2.694 -3.543
-2.142 -3.263 -2.187
-4.138 1.548 1.744
Cd Er
3 1
Direct
0.000 0.000 0.917 Cd
0.500 0.500 0.917 Cd
0.500 0.000 0.417 Cd
0.000 0.500 0.417 Er

***

ErCd5 | the Alexandria database | PBE | relaxed; final energy = -1.6904 eV/atom; space group = Cmmm, No. 65; E_form = -1.0 eV per formula unit
1.0
4.647 0.000 0.000
0.000 4.586 0.000
0.000 -2.293 6.515
Er Cd
1 5
Direct
0.000 0.000 0.000 Er
0.500 0.834 0.669 Cd
0.500 0.166 0.331 Cd
0.000 0.674 0.347 Cd
0.000 0.326 0.653 Cd
0.500 0.500 0.000 Cd

***

Er7Cd3 | the Alexandria database | PBE | relaxed; final energy = -3.5479 eV/atom; space group = P6_3mc, No. 186; E_form = -0.8 eV per formula unit
1.0
6.911 0.000 0.000
0.000 9.829 0.000
0.000 -4.914 8.512
Er Cd
14 6
Direct
0.039 0.667 0.333 Er
0.431 0.750 0.875 Er
0.431 0.125 0.250 Er
0.431 0.125 0.875 Er
0.931 0.875 0.750 Er
0.664 0.532 0.064 Er
0.164 0.468 0.936 Er
0.931 0.250 0.125 Er
0.164 0.468 0.532 Er
0.664 0.936 0.468 Er
0.539 0.333 0.667 Er
0.164 0.064 0.532 Er
0.664 0.532 0.468 Er
0.931 0.875 0.125 Er
0.861 0.208 0.416 Cd
0.861 0.208 0.792 Cd
0.361 0.792 0.208 Cd
0.361 0.792 0.584 Cd
0.861 0.584 0.792 Cd
0.361 0.416 0.208 Cd

***

Er3Cd | the Alexandria database | PBE | relaxed; final energy = -3.7940 eV/atom; space group = P4/mmm, No. 123; E_form = -0.6 eV per formula unit; E above lowest polymorph = 0.0000 eV/atom
1.0
-2.921 1.122 1.658
-1.056 -3.355 0.411
4.327 -0.395 7.889
Er Cd
3 1
Direct
0.500 0.500 0.770 Er
0.500 0.500 0.230 Er
0.000 0.000 0.500 Er
0.000 0.000 0.000 Cd

***

Er3Cd | the Alexandria database | PBE | relaxed; final energy = -3.7362 eV/atom; space group = Pm-3m, No. 221; E_form = -0.3 eV per formula unit; E above lowest polymorph = 0.0578 eV/atom
1.0
-4.626 -1.251 0.355
0.473 -0.397 4.766
-1.212 4.623 0.505
Er Cd
3 1
Direct
0.500 0.500 0.000 Er
0.000 0.500 0.500 Er
0.500 0.000 0.500 Er
0.000 0.000 0.000 Cd

***

ErCd3 | the Alexandria database | PBE | relaxed; final energy = -2.0911 eV/atom; space group = Cmcm, No. 63; E_form = -1.1 eV per formula unit
1.0
6.473 -0.003 0.000
-2.506 5.968 0.000
0.000 0.000 4.861
Cd Er
6 2
Direct
0.688 0.879 0.250 Cd
0.879 0.688 0.750 Cd
0.121 0.312 0.250 Cd
0.312 0.121 0.750 Cd
0.824 0.176 0.750 Cd
0.176 0.824 0.250 Cd
0.367 0.633 0.750 Er
0.633 0.367 0.250 Er

***

EuErCd | the Alexandria database | PBE | relaxed; final energy = -5.2964 eV/atom; space group = P3m1, No. 156; E_form = -0.1 eV per formula unit; E above lowest polymorph = 0.1120 eV/atom
1.0
3.627 0.000 0.000
0.000 5.369 0.000
0.000 -2.684 4.649
Eu Er Cd
1 1 1
Direct
0.973 0.000 0.000 Eu
0.412 0.333 0.667 Er
0.615 0.667 0.333 Cd

***

Eu2ErCd | the Alexandria database | PBE | relaxed; final energy = -6.5354 eV/atom; space group = P4/mmm, No. 123; E_form = -0.1 eV per formula unit; E above lowest polymorph = 0.0528 eV/atom
1.0
5.049 0.000 0.000
0.000 5.018 0.000
0.000 0.000 5.018
Cd Eu Er
1 2 1
Direct
0.500 0.000 0.000 Cd
0.000 0.000 0.500 Eu
0.000 0.500 0.000 Eu
0.500 0.500 0.500 Er

***

Eu2ErCd | the Alexandria database | PBE | relaxed; final energy = -6.4942 eV/atom; space group = Fm-3m, No. 225; E_form = 0.1 eV per formula unit; E above lowest polymorph = 0.0941 eV/atom
1.0
-5.539 0.840 -0.863
-3.359 -4.374 -1.310
-3.777 -1.902 3.774
Cd Er Eu
1 1 2
Direct
0.500 0.500 0.500 Cd
0.000 0.000 0.000 Er
0.250 0.250 0.250 Eu
0.750 0.750 0.750 Eu

***

EuErCd4 | the Alexandria database | PBE | relaxed; final energy = -3.3350 eV/atom; space group = F-43m, No. 216; E_form = -1.5 eV per formula unit
1.0
-2.043 4.069 -3.876
0.569 -0.922 -5.880
-4.828 -1.193 -3.320
Eu Cd Er
1 4 1
Direct
0.250 0.250 0.250 Eu
0.625 0.625 0.124 Cd
0.625 0.625 0.625 Cd
0.625 0.124 0.625 Cd
0.124 0.625 0.625 Cd
0.000 0.000 0.000 Er

***

EuErCd | the Alexandria database | PBE | relaxed; final energy = -5.4084 eV/atom; space group = I4mm, No. 107; E_form = -0.5 eV per formula unit; E above lowest polymorph = 0.0000 eV/atom
1.0
3.762 0.000 0.000
0.000 3.762 0.000
-1.881 -1.881 6.535
Er Cd Eu
1 1 1
Direct
0.308 0.308 0.616 Er
0.678 0.678 0.356 Cd
0.014 0.014 0.028 Eu

***

Eu2ErCd | the Alexandria database | PBE | relaxed; final energy = -6.5882 eV/atom; space group = P4/mmm, No. 123; E_form = -0.3 eV per formula unit; E above lowest polymorph = 0.0000 eV/atom
1.0
-3.629 0.407 0.992
-0.910 -3.021 -2.090
1.388 -5.488 7.330
Eu Er Cd
2 1 1
Direct
0.000 0.000 0.778 Eu
0.000 0.000 0.222 Eu
0.500 0.500 0.500 Er
0.500 0.500 0.000 Cd

***

Eu2ErCd | the Alexandria database | PBE | relaxed; final energy = -6.3525 eV/atom; space group = R-3m, No. 166; E_form = 0.6 eV per formula unit; E above lowest polymorph = 0.2357 eV/atom
1.0
-0.043 -3.432 -0.917
0.737 -2.495 2.420
-11.651 -2.617 3.460
Er Eu Cd
1 2 1
Direct
0.000 0.000 0.000 Er
0.093 0.093 0.722 Eu
0.907 0.907 0.278 Eu
0.500 0.500 0.500 Cd

***

EuGdErCd | the Alexandria database | PBE | relaxed; final energy = -7.4616 eV/atom; space group = F-43m, No. 216; E_form = 0.0 eV per formula unit
1.0
5.508 0.000 0.000
2.754 4.770 0.000
2.754 1.590 4.497
Er Eu Gd Cd
1 1 1 1
Direct
0.500 0.500 0.500 Er
0.250 0.250 0.250 Eu
0.000 0.000 0.000 Gd
0.750 0.750 0.750 Cd

***

EuErCdHg | the Alexandria database | PBE | relaxed; final energy = -4.4005 eV/atom; space group = F-43m, No. 216; E_form = -1.5 eV per formula unit
1.0
-0.339 4.719 2.538
1.130 0.317 5.239
4.463 2.494 1.637
Er Eu Hg Cd
1 1 1 1
Direct
0.000 0.000 0.000 Er
0.500 0.500 0.500 Eu
0.250 0.250 0.250 Hg
0.750 0.750 0.750 Cd

***

EuHoErCd | the Alexandria database | PBE | relaxed; final energy = -5.0782 eV/atom; space group = F-43m, No. 216; E_form = 0.0 eV per formula unit
1.0
5.523 0.000 0.000
2.761 4.783 0.000
2.761 1.594 4.509
Cd Eu Ho Er
1 1 1 1
Direct
0.250 0.250 0.250 Cd
0.000 0.000 0.000 Eu
0.500 0.500 0.500 Ho
0.750 0.750 0.750 Er

***

EuErCdIn | the Alexandria database | PBE | relaxed; final energy = -5.0057 eV/atom; space group = F-43m, No. 216; E_form = -1.5 eV per formula unit
1.0
5.411 0.000 0.000
2.706 4.686 0.000
2.706 1.562 4.418
Cd In Er Eu
1 1 1 1
Direct
0.750 0.750 0.750 Cd
0.250 0.250 0.250 In
0.000 0.000 0.000 Er
0.500 0.500 0.500 Eu